1.
# TbSc2ZnRh4 PBE-GGA relaxed
data_TbSc2ZnRh4
_chemical_formula_sum 'Tb3 Sc6 Zn3 Rh12'
_space_group_name_H-M_alt 'R -3 m'
_space_group_IT_number 166
_space_group_name_Hall '-R 3 2"'
_cell_length_a 4.5544
_cell_length_b 4.5544
_cell_length_c 22.5666
_cell_angle_alpha 90.00
_cell_angle_beta 90.00
_cell_angle_gamma 120.00
loop_
_atom_site_label
_atom_site_fract_x
_atom_site_fract_y
_atom_site_fract_z
Tb1 0.0000 0.0000 0.0000
Sc1 0.0000 0.0000 0.2414
Zn1 0.0000 0.0000 0.5000
Rh1 0.0000 0.0000 0.1260
Rh2 0.0000 0.0000 0.3799
# Final energy: -6.834 eV/atom

2.
# Sc2Tc2Rh PBE-GGA relaxed
data_Sc2Tc2Rh
_chemical_formula_sum 'Sc4 Tc4 Rh2'
_space_group_name_H-M_alt 'P 4/m b m'
_space_group_IT_number 127
_space_group_name_Hall '-P 4 2ab'
_cell_length_a 6.5574
_cell_length_b 6.5574
_cell_length_c 4.2472
_cell_angle_alpha 90.00
_cell_angle_beta 90.00
_cell_angle_gamma 90.00
loop_
_atom_site_label
_atom_site_fract_x
_atom_site_fract_y
_atom_site_fract_z
Sc1 0.1790 0.3210 0.0000
Tc1 0.1233 0.6233 0.5000
Rh1 0.0000 0.0000 0.5000
# Final energy: -8.272 eV/atom

3.
# Sc8TcRh2 PBE-GGA relaxed
data_Sc8TcRh2
_chemical_formula_sum 'Sc16 Tc2 Rh4'
_space_group_name_H-M_alt 'C 1 m 1'
_space_group_IT_number 8
_space_group_name_Hall 'C -2y'
_cell_length_a 7.7391
_cell_length_b 12.1107
_cell_length_c 5.2596
_cell_angle_alpha 90.00
_cell_angle_beta 109.60
_cell_angle_gamma 90.00
loop_
_atom_site_label
_atom_site_fract_x
_atom_site_fract_y
_atom_site_fract_z
Sc1 0.0000 0.0000 0.0000
Sc2 0.0661 0.3769 0.7846
Sc3 0.1605 0.1224 0.5917
Sc4 0.2213 0.5000 0.3663
Sc5 0.3668 0.2129 0.1853
Tc1 0.3608 0.0000 0.1279
Rh1 0.3582 0.3089 0.6758
# Final energy: -7.251 eV/atom

4.
# ScTcRh4 PBE-GGA relaxed
data_ScTcRh4
_chemical_formula_sum 'Sc4 Tc4 Rh16'
_space_group_name_H-M_alt 'F -4 3 m'
_space_group_IT_number 216
_space_group_name_Hall 'F -4 2 3'
_cell_length_a 7.2609
_cell_length_b 7.2609
_cell_length_c 7.2609
_cell_angle_alpha 90.00
_cell_angle_beta 90.00
_cell_angle_gamma 90.00
loop_
_atom_site_label
_atom_site_fract_x
_atom_site_fract_y
_atom_site_fract_z
Sc1 0.0000 0.0000 0.0000
Tc1 0.2500 0.2500 0.2500
Rh1 0.1249 0.1249 0.6249
# Final energy: -7.762 eV/atom